1.
{"formula": "CsBa", "functional": "PBE", "state": "relaxed", "lattice": [[4.777, 0.000, 0.000], [-2.388, 4.137, 0.000], [0.000, 0.000, 16.708]], "species": ["Ba", "Ba", "Cs", "Cs"], "fractional_positions": [[0.333, 0.667, 0.607], [0.667, 0.333, 0.393], [0.667, 0.333, 0.859], [0.333, 0.667, 0.141]], "dos_at_fermi_per_ev_atom": 1.53, "ef_kj_per_mol_atoms": 9.7, "spacegroup": "No. 164"}

2.
{"formula": "CsBa3", "functional": "PBE", "state": "relaxed", "lattice": [[-4.585, 4.324, -3.847], [0.858, 0.721, -7.298], [-4.918, -3.012, -4.611]], "species": ["Ba", "Ba", "Ba", "Cs"], "fractional_positions": [[0.250, 0.250, 0.250], [0.500, 0.500, 0.500], [0.750, 0.750, 0.750], [0.000, 0.000, 0.000]], "dos_at_fermi_per_ev_atom": 2.15, "ef_kj_per_mol_atoms": 15.3, "spacegroup": "No. 225", "relative_energy_mev_per_atom": 29}

3.
{"formula": "CsBa3", "functional": "PBE", "state": "relaxed", "lattice": [[-1.010, 1.869, 4.053], [5.250, -5.024, 3.625], [3.498, 6.741, -4.820]], "species": ["Ba", "Ba", "Ba", "Cs"], "fractional_positions": [[0.246, 0.579, 0.492], [0.754, 0.087, 0.508], [0.500, 0.502, 0.000], [0.000, 0.999, 0.000]], "dos_at_fermi_per_ev_atom": 1.71, "ef_kj_per_mol_atoms": 13.0, "spacegroup": "No. 44", "relative_energy_mev_per_atom": 5}

4.
{"formula": "CsBa", "functional": "PBE", "state": "relaxed", "lattice": [[8.820, 0.000, 0.000], [0.000, 8.820, 0.000], [0.000, 0.000, 8.766]], "species": ["Ba", "Ba", "Ba", "Ba", "Cs", "Cs", "Cs", "Cs"], "fractional_positions": [[0.320, 0.680, 0.000], [0.180, 0.180, 0.500], [0.680, 0.320, 0.000], [0.820, 0.820, 0.500], [0.182, 0.182, 0.000], [0.818, 0.818, 0.000], [0.318, 0.682, 0.500], [0.682, 0.318, 0.500]], "dos_at_fermi_per_ev_atom": 1.65, "ef_kj_per_mol_atoms": 38.1, "spacegroup": "No. 136"}

5.
{"formula": "CsBa2Cu", "functional": "PBE", "state": "relaxed", "lattice": [[4.147, 0.000, 0.000], [0.000, 4.147, 0.000], [0.000, 0.000, 12.042]], "species": ["Ba", "Ba", "Cs", "Cu"], "fractional_positions": [[0.000, 0.000, 0.155], [0.000, 0.000, 0.845], [0.500, 0.500, 0.500], [0.500, 0.500, 0.000]], "dos_at_fermi_per_ev_atom": 1.21, "ef_kj_per_mol_atoms": 10.7, "spacegroup": "No. 123", "relative_energy_mev_per_atom": 0}

6.
{"formula": "CsBa2Cu", "functional": "PBE", "state": "relaxed", "lattice": [[0.000, 4.431, 4.431], [4.431, 0.000, 4.431], [4.431, 4.431, 0.000]], "species": ["Cs", "Ba", "Ba", "Cu"], "fractional_positions": [[0.500, 0.500, 0.500], [0.750, 0.750, 0.750], [0.250, 0.250, 0.250], [0.000, 0.000, 0.000]], "dos_at_fermi_per_ev_atom": 1.26, "ef_kj_per_mol_atoms": 37.6, "spacegroup": "No. 225", "relative_energy_mev_per_atom": 279}

7.
{"formula": "CsBa2Cu2", "functional": "PBE", "state": "relaxed", "lattice": [[9.744, 0.000, 0.000], [0.000, 9.744, 0.000], [0.000, 0.000, 3.917]], "species": ["Ba", "Ba", "Ba", "Ba", "Cu", "Cu", "Cu", "Cu", "Cs", "Cs"], "fractional_positions": [[0.638, 0.138, 0.000], [0.138, 0.362, 0.000], [0.862, 0.638, 0.000], [0.362, 0.862, 0.000], [0.351, 0.149, 0.500], [0.149, 0.649, 0.500], [0.851, 0.351, 0.500], [0.649, 0.851, 0.500], [0.000, 0.000, 0.000], [0.500, 0.500, 0.000]], "dos_at_fermi_per_ev_atom": 1.04, "ef_kj_per_mol_atoms": 24.5, "spacegroup": "No. 127", "relative_energy_mev_per_atom": 104}

8.
{"formula": "Cs2BaCu", "functional": "PBE", "state": "relaxed", "lattice": [[-11.312, 4.463, -4.376], [3.909, -2.007, -12.153], [-4.940, -1.810, -8.161]], "species": ["Cs", "Cs", "Cs", "Cs", "Cu", "Cu", "Ba", "Ba"], "fractional_positions": [[0.375, 0.500, 0.750], [0.250, 0.625, 0.250], [0.875, 0.750, 0.750], [0.500, 0.125, 0.250], [0.250, 0.750, 0.500], [0.500, 0.500, 0.000], [0.000, 0.000, 0.000], [0.750, 0.250, 0.500]], "dos_at_fermi_per_ev_atom": 1.34, "ef_kj_per_mol_atoms": 31.4, "spacegroup": "No. 122"}

9.
{"formula": "CsBaCu2", "functional": "PBE", "state": "relaxed", "lattice": [[8.940, 0.000, 0.000], [0.000, 8.940, 0.000], [4.470, 4.470, 4.210]], "species": ["Cu", "Cu", "Cu", "Cu", "Ba", "Ba", "Cs", "Cs"], "fractional_positions": [[0.652, 0.125, 0.250], [0.875, 0.902, 0.750], [0.098, 0.625, 0.250], [0.375, 0.348, 0.750], [0.000, 0.000, 0.000], [0.750, 0.250, 0.500], [0.250, 0.750, 0.500], [0.500, 0.500, 0.000]], "dos_at_fermi_per_ev_atom": 0.92, "ef_kj_per_mol_atoms": 46.6, "spacegroup": "No. 122", "relative_energy_mev_per_atom": 142}

10.
{"formula": "Cs2BaCu", "functional": "PBE", "state": "relaxed", "lattice": [[0.000, 4.931, 4.931], [4.931, 0.000, 4.931], [4.931, 4.931, 0.000]], "species": ["Cs", "Cs", "Ba", "Cu"], "fractional_positions": [[0.250, 0.250, 0.250], [0.750, 0.750, 0.750], [0.500, 0.500, 0.500], [0.000, 0.000, 0.000]], "dos_at_fermi_per_ev_atom": 1.40, "ef_kj_per_mol_atoms": 56.8, "spacegroup": "No. 225"}

11.
{"formula": "CsBa2Cu2", "functional": "PBE", "state": "relaxed", "lattice": [[-3.381, 0.284, 4.911], [-4.914, 0.084, -3.387], [-4.415, -6.758, 0.978]], "species": ["Ba", "Ba", "Cs", "Cu", "Cu"], "fractional_positions": [[0.331, 0.331, 0.339], [0.669, 0.669, 0.661], [0.000, 0.000, 0.000], [0.250, 0.750, 0.500], [0.750, 0.250, 0.500]], "dos_at_fermi_per_ev_atom": 0.68, "ef_kj_per_mol_atoms": 25.6, "spacegroup": "No. 139", "relative_energy_mev_per_atom": 115}

12.
{"formula": "CsBa2Cu2", "functional": "PBE", "state": "relaxed", "lattice": [[-2.381, 3.811, 3.545], [-3.322, -4.114, 2.192], [1.497, -1.394, 7.125]], "species": ["Ba", "Ba", "Cu", "Cu", "Cs"], "fractional_positions": [[0.750, 0.250, 0.500], [0.250, 0.750, 0.500], [0.400, 0.400, 0.201], [0.600, 0.600, 0.799], [0.000, 0.000, 0.000]], "dos_at_fermi_per_ev_atom": 0.84, "ef_kj_per_mol_atoms": 22.7, "spacegroup": "No. 139", "relative_energy_mev_per_atom": 85}